1.
Density functional theory data (PBE) for crystalline LiZrMn2 at its relaxed geometry.

Calculated values
ΔH_f (0 K) in kJ per mole of atoms: 26.5
Calculated volume in A^3/atom: 14.6
DOS(E_F) in states/eV/f.u.: 6.60
Raw total energy in eV/cell: -27.70

Cell lengths 4.3572, 4.3572, 4.3572 Å; angles 60.00, 60.00, 60.00 degrees
Closest atoms and distances in Å follow each position.
Atoms (fractional coordinates):
Mn: 0.0000 0.0000 0.0000  4 Zr 2.67, 4 Mn 2.67
Mn: 0.7500 0.7500 0.7500  4 Li 2.67, 4 Mn 2.67
Li: 0.5000 0.5000 0.5000  4 Mn 2.67, 4 Zr 2.67
Zr: 0.2500 0.2500 0.2500  4 Mn 2.67, 4 Li 2.67

---

2.
Density functional theory data (PBE) for crystalline MgZnCrMo2 at its relaxed geometry.

Calculated values
ΔH_f (0 K) in kJ per mole of atoms: 204.0
Calculated volume in A^3/atom: 18.0
DOS(E_F) in states/eV/f.u.: 6.98
Raw total energy in eV/cell: -23.59

Cell lengths 4.6012, 4.2432, 4.6012 Å; angles 90.00, 90.00, 90.00 degrees
Closest atoms and distances in Å follow each position.
Atoms (fractional coordinates):
Mo: 0.5000 0.0000 0.0000  2 Mg 2.30
Mo: 0.0000 0.0000 0.5000  2 Mg 2.30
Cr: 0.5000 0.5000 0.5000  8 Mo 3.13, 4 Zn 3.25
Mg: 0.0000 0.0000 0.0000  2 Zn 2.12, 4 Mo 2.30
Zn: 0.0000 0.5000 0.0000  2 Mg 2.12

---

3.
Density functional theory data (PBE) for crystalline CuAg2Cl2F2 at its relaxed geometry.

Calculated values
Calculated volume in A^3/atom: 17.9
Raw formation energy in meV/atom: -826
DOS(E_F) in states/eV/f.u.: 2.56
Raw total energy in eV/cell: -23.02

Cell lengths 3.7097, 6.5722, 6.3452 Å; angles 59.02, 73.00, 73.61 degrees
Closest atoms and distances in Å follow each position.
Atoms (fractional coordinates):
F: 0.8418 0.2897 0.0267  1 Cu 1.91
F: 0.1582 0.7103 0.9733  1 Cu 1.91
Cl: 0.4166 0.8313 0.3355  2 Cu 2.58, 3 Ag 2.67-2.88
Cl: 0.5834 0.1687 0.6645  2 Cu 2.58, 3 Ag 2.67-2.88
Ag: 0.1961 0.2999 0.3079  3 F 2.42-2.54, 2 Cl 2.67
Ag: 0.8039 0.7001 0.6921  3 F 2.42-2.54, 2 Cl 2.67
Cu: 0.0000 0.0000 0.0000  2 F 1.91

---

4.
Density functional theory data (PBE) for crystalline Er3GaAg2 at its relaxed geometry.

Calculated values
ΔH_f (0 K) in kJ per mole of atoms: -40.9
Calculated volume in A^3/atom: 23.1
DOS(E_F) in states/eV/f.u.: 2.93
Raw total energy in eV/cell: -24.96

Cell lengths 5.0713, 5.0713, 6.2183 Å; angles 90.00, 90.00, 120.00 degrees
Closest atoms and distances in Å follow each position.
Atoms (fractional coordinates):
Er: 0.3333 0.6667 0.1641  5 Ag 3.08-3.14, 3 Ga 3.10
Er: 0.6667 0.3333 0.8359  5 Ag 3.08-3.14, 3 Ga 3.10
Er: 0.0000 0.0000 0.5000  2 Ga 3.11, 6 Ag 3.11
Ag: 0.3333 0.6667 0.6691  8 Er 3.08-3.14
Ag: 0.6667 0.3333 0.3309  8 Er 3.08-3.14
Ga: 0.0000 0.0000 0.0000  8 Er 3.10-3.11

---

5.
Density functional theory data (PBE) for crystalline CsHfGa2O at its relaxed geometry.

Calculated values
Calculated volume in A^3/atom: 27.0
Raw formation energy in meV/atom: -583
DOS(E_F) in states/eV/f.u.: 3.40
Raw total energy in eV/cell: -24.74

Cell lengths 5.7551, 4.0741, 5.7551 Å; angles 90.00, 90.00, 90.00 degrees
Closest atoms and distances in Å follow each position.
Atoms (fractional coordinates):
O: 0.0000 0.5000 0.0000  2 Hf 2.04
Cs: 0.5000 0.5000 0.5000  8 Ga 3.53
Ga: 0.0000 0.0000 0.5000  2 Hf 2.88
Ga: 0.5000 0.0000 0.0000  2 Hf 2.88
Hf: 0.0000 0.0000 0.0000  2 O 2.04

---

6.
Density functional theory data (PBE) for crystalline TlSn at its relaxed geometry.

Calculated values
ΔH_f (0 K) in kJ per mole of atoms: 19.0
Calculated volume in A^3/atom: 30.7
DOS(E_F) in states/eV/f.u.: 0.82
Raw total energy in eV/cell: -5.97

Cell lengths 4.4278, 4.4278, 4.4278 Å; angles 60.00, 60.00, 60.00 degrees
Closest atoms and distances in Å follow each position.
Atoms (fractional coordinates):
Sn: 0.0000 0.0000 0.0000  6 Tl 3.13
Tl: 0.5000 0.5000 0.5000  6 Sn 3.13

---

7.
Density functional theory data (PBE) for crystalline YAg3Te at its relaxed geometry.

Calculated values
Calculated volume in A^3/atom: 29.1
Excess energy over the best structure of this formula in the dataset in meV/atom: 0
Raw formation energy in meV/atom: 459
DOS(E_F) in states/eV/f.u.: 3.69
Raw total energy in eV/cell: -15.86

Cell lengths 5.2625, 5.2625, 5.2625 Å; angles 90.00, 90.00, 90.00 degrees
Closest atoms and distances in Å follow each position.
Atoms (fractional coordinates):
Ag: 0.0000 0.0000 0.5000  2 Te 2.63
Ag: 0.5000 0.0000 0.0000  2 Te 2.63
Ag: 0.0000 0.5000 0.0000  2 Te 2.63
Y: 0.5000 0.5000 0.5000  12 Ag 3.72
Te: 0.0000 0.0000 0.0000  6 Ag 2.63

---

8.
Density functional theory data (PBE) for crystalline TlIn2Hg at its relaxed geometry.

Calculated values
ΔH_f (0 K) in kJ per mole of atoms: 5.0
Calculated volume in A^3/atom: 29.5
DOS(E_F) in states/eV/f.u.: 1.87
Raw total energy in eV/cell: -15.88

Cell lengths 8.5522, 8.5522, 6.8530 Å; angles 51.39, 51.39, 90.00 degrees
Closest atoms and distances in Å follow each position.
Atoms (fractional coordinates):
In: 0.3750 0.3954 0.7500  2 Hg 3.01, 2 In 3.24, 2 Tl 3.25
In: 0.8750 0.8546 0.7500  2 Hg 3.01, 2 In 3.24, 2 Tl 3.25
In: 0.6046 0.1250 0.2500  2 Hg 3.01, 2 In 3.24, 2 Tl 3.25
In: 0.1454 0.6250 0.2500  2 Hg 3.01, 2 In 3.24, 2 Tl 3.25
Hg: 0.2500 0.7500 0.5000  4 In 3.01, 2 Tl 3.22
Hg: 0.5000 0.5000 0.0000  4 In 3.01, 2 Tl 3.22
Tl: 0.0000 0.0000 0.0000  2 Hg 3.22, 4 In 3.25
Tl: 0.7500 0.2500 0.5000  2 Hg 3.22, 4 In 3.25

---

9.
Density functional theory data (PBE) for crystalline Hg3Ir at its relaxed geometry.

Calculated values
ΔH_f (0 K) in kJ per mole of atoms: 48.5
Calculated volume in A^3/atom: 20.0
Excess energy over the best structure of this formula in the dataset in meV/atom: 220
DOS(E_F) in states/eV/f.u.: 2.36
Raw total energy in eV/cell: -7.75

Cell lengths 3.1269, 5.5333, 5.5333 Å; angles 116.54, 100.86, 100.86 degrees
Closest atoms and distances in Å follow each position.
Atoms (fractional coordinates):
Ir: 0.0000 0.5000 0.5000  6 Hg 2.91, 2 Ir 3.13
Hg: 0.5000 0.0000 0.5000  6 Hg 2.91-3.13, 2 Ir 2.91
Hg: 0.0000 0.0000 0.0000  2 Ir 2.91, 6 Hg 2.91-3.13
Hg: 0.5000 0.5000 0.0000  6 Hg 2.91-3.13, 2 Ir 2.91

---

10.
Density functional theory data (PBE) for crystalline YPdRh2W at its relaxed geometry.

Calculated values
ΔH_f (0 K) in kJ per mole of atoms: 34.7
Calculated volume in A^3/atom: 21.8
DOS(E_F) in states/eV/f.u.: 5.14
Raw total energy in eV/cell: -37.52

Cell lengths 4.7209, 4.8804, 4.7209 Å; angles 90.00, 90.00, 90.00 degrees
Closest atoms and distances in Å follow each position.
Atoms (fractional coordinates):
Y: 0.5000 0.5000 0.5000  4 Pd 3.34, 8 Rh 3.40
Pd: 0.0000 0.5000 0.0000  2 W 2.44
Rh: 0.5000 0.0000 0.0000  2 W 2.36
Rh: 0.0000 0.0000 0.5000  2 W 2.36
W: 0.0000 0.0000 0.0000  4 Rh 2.36, 2 Pd 2.44